First-principles (GGA+U) data for KWF6 after structural relaxation, as listed in Alexandria via LeMat-Bulk.

The offset from the most stable computed form comes out at 160 meV per atom. As for the uncorrected energy: -0.18811 Ha/atom. For the total magnetization, the calculation gives 3.000 μB/cell.

The structure belongs to space group R-3m (No. 166, hexagonal axes); the cell edges are 5.6036, 5.6036 and 15.9016 Å and the angles 90.00°, 90.00° and 120.00°. The distinct sites, in fractional coordinates, are K at (0.0000, 0.0000, 0.0000), W at (0.0000, 0.0000, 0.5000) and F at (0.0121, 0.5061, 0.0940).